Record 1
# Rb3SmHo3Te8 GGA-PBE optimized geometry
data_Rb3SmHo3Te8
_chemical_formula_sum 'Rb9 Sm3 Ho9 Te24'
_space_group_name_H-M_alt 'R -3 m'
_space_group_IT_number 166
_space_group_name_Hall '-R 3 2"'
_cell_length_a 8.8373
_cell_length_b 8.8373
_cell_length_c 26.4374
_cell_angle_alpha 90.00
_cell_angle_beta 90.00
_cell_angle_gamma 120.00
loop_
_atom_site_label
_atom_site_type_symbol
_atom_site_fract_x
_atom_site_fract_y
_atom_site_fract_z
Rb1 Rb 0.0000 0.5000 0.0000
Sm1 Sm 0.0000 0.0000 0.5000
Ho1 Ho 0.0000 0.5000 0.5000
Te1 Te 0.0000 0.0000 0.2329
Te2 Te 0.0083 0.5042 0.7664
# E_form (uncorrected): -1.31 eV/atom
# Crystal system: trigonal
# VASP energy: -4.4126 eV per atom

=====

Record 2
# EuReN2 GGA-PBE optimized geometry
data_EuReN2
_chemical_formula_sum 'Eu3 Re3 N6'
_space_group_name_H-M_alt 'R -3 m'
_space_group_IT_number 166
_space_group_name_Hall '-R 3 2"'
_cell_length_a 3.2807
_cell_length_b 3.2807
_cell_length_c 16.0838
_cell_angle_alpha 90.00
_cell_angle_beta 90.00
_cell_angle_gamma 120.00
loop_
_atom_site_label
_atom_site_type_symbol
_atom_site_fract_x
_atom_site_fract_y
_atom_site_fract_z
Eu1 Eu 0.0000 0.0000 0.0000
Re1 Re 0.0000 0.0000 0.5000
N1 N 0.0000 0.0000 0.2317
# Polymorph energy (0 for the lowest one): 0 meV/atom
# E_form (uncorrected): -0.33 eV/atom
# Crystal system: trigonal
# VASP energy: -10.1700 eV per atom

=====

Record 3
# ScAlNi2 GGA-PBE optimized geometry
data_ScAlNi2
_chemical_formula_sum 'Sc2 Al2 Ni4'
_space_group_name_H-M_alt 'C 1 m 1'
_space_group_IT_number 8
_cell_length_a 9.047
_cell_length_b 2.989
_cell_length_c 4.344
_cell_angle_alpha 90.00
_cell_angle_beta 105.00
_cell_angle_gamma 90.00
loop_
_space_group_symop_operation_xyz
'x,y,z'
'x,-y,z'
'x+1/2,y+1/2,z'
'x+1/2,-y+1/2,z'
loop_
_atom_site_label
_atom_site_type_symbol
_atom_site_fract_x
_atom_site_fract_y
_atom_site_fract_z
Sc1 Sc 0.000 0.000 0.000
Al1 Al 0.269 0.500 0.367
Ni1 Ni 0.002 0.500 0.498
Ni2 Ni 0.251 0.000 0.831
# Crystal system: monoclinic
# VASP energy: -5.8740 eV per atom
# Formation enthalpy at 0 K: -465 meV/atom

=====

Record 4
# Ca2TiRuO6 GGA-PBE optimized geometry
data_Ca2TiRuO6
_chemical_formula_sum 'Ca4 Ti2 Ru2 O12'
_space_group_name_H-M_alt 'P 1 21/c 1'
_space_group_IT_number 14
_cell_length_a 5.417
_cell_length_b 5.541
_cell_length_c 9.426
_cell_angle_alpha 90.00
_cell_angle_beta 124.97
_cell_angle_gamma 90.00
loop_
_space_group_symop_operation_xyz
'x,y,z'
'-x,-y,-z'
'-x,y+1/2,-z+1/2'
'x,-y+1/2,z+1/2'
loop_
_atom_site_label
_atom_site_type_symbol
_atom_site_fract_x
_atom_site_fract_y
_atom_site_fract_z
Ca1 Ca 0.239 0.049 0.250
Ti1 Ti 0.500 0.000 0.000
Ru1 Ru 0.000 0.000 0.500
O1 O 0.164 0.205 0.958
O2 O 0.254 0.710 0.957
O3 O 0.335 0.021 0.752
# E_form (uncorrected): -2.47 eV/atom
# Crystal system: monoclinic
# VASP energy: -7.5599 eV per atom